# 1
Crystalline Ca2SbMo at its relaxed geometry. Source: the Alexandria database, functional PBE-GGA.

The space group is Cm (No. 8) and the conventional cell measures 11.697, 3.789 and 5.213 Å, with angles of 90.00, 115.73 and 90.00 degrees. The distinct sites, in fractional coordinates, are Ca at (0.000, 0.000, 0.000), Ca at (0.215, 0.000, 0.699), Sb at (0.258, 0.500, 0.240) and Mo at (0.441, 0.000, 0.442).

The uncorrected formation energy comes out at 0.12 eV/atom.

***

# 2
Crystalline CaSbTe2Mo at its relaxed geometry. Source: the Alexandria database, functional PBE-GGA.

The space group is P4/mmm (No. 123) and the conventional cell measures 5.596, 5.596 and 5.596 Å, with angles of 90.00, 90.00 and 90.00 degrees. The distinct sites, in fractional coordinates, are Ca at (0.000, 0.000, 0.000), Sb at (0.000, 0.000, 0.500), Te at (0.000, 0.500, 0.000) and Mo at (0.500, 0.500, 0.500).

The uncorrected formation energy comes out at 1.36 eV/atom.

***

What did the second record say?
Crystalline CaSbTe2Mo at its relaxed geometry. Source: the Alexandria database, functional PBE-GGA.

The space group is P4/mmm (No. 123) and the conventional cell measures 5.596, 5.596 and 5.596 Å, with angles of 90.00, 90.00 and 90.00 degrees. The distinct sites, in fractional coordinates, are Ca at (0.000, 0.000, 0.000), Sb at (0.000, 0.000, 0.500), Te at (0.000, 0.500, 0.000) and Mo at (0.500, 0.500, 0.500).

The uncorrected formation energy comes out at 1.36 eV/atom.